Computed, not measured: an optimized crystal structure of InSn3Br7 at the PBE-GGA level of DFT.

Mass density (g/cm³): 4.54
Formation energy (no corrections) (eV/atom): -0.697

Cell: 7.3643 7.3643 7.4353 Å, 102.78 102.78 97.30°
Fractional positions:
In 0.0000 0.0000 0.0000
Sn 0.2705 0.7295 0.5000
Sn 0.5000 0.5000 0.0000
Sn 0.7295 0.2705 0.5000
Br 0.0000 0.0000 0.5000
Br 0.1207 0.5380 0.7732
Br 0.3440 0.3440 0.2817
Br 0.4620 0.8793 0.2268
Br 0.5380 0.1207 0.7732
Br 0.6560 0.6560 0.7183
Br 0.8793 0.4620 0.2268